Computed, not measured: crystalline CaMgCoHNF at its relaxed geometry at the GGA+U level of DFT.

a b c (Å): 6.436 6.436 6.436
angles (deg): 149.69 145.69 46.43
Atoms (fractional coordinates):
Ca (0.000, 0.000, 0.000)
Mg (0.735, 0.735, 0.000)
Co (0.374, 0.374, 0.000)
H (0.521, 0.521, 0.000)
N (0.837, 0.337, 0.500)
F (0.156, 0.656, 0.500)

Values from the calculation:
- E_tot: -4.803 eV per atom
- ΔE to the lowest computed polymorph: 0 meV per atom
- V: 75.6 Å³/cell